(1)
VASP calculation (GGA-PBE) on a relaxed structure of Pa2CuP3Rh4.

abc: 3.9401 3.9401 10.4702
angles: 90.00 90.00 90.00
Last column: nearest neighbours and their distance in Å.
Space group P-4m2 (No. 115)
Unique sites:
1 Pa 0.0000 0.5000 0.2455  4 Rh 2.95, 6 P 3.08-3.24, 2 Cu 3.24
2 Cu 0.5000 0.5000 0.0000  4 Rh 2.54, 4 P 2.79
3 P 0.0000 0.0000 0.0000  4 Rh 2.54, 4 Cu 2.79
4 P 0.0000 0.5000 0.6300  5 Rh 2.27-2.39
5 Rh 0.0000 0.0000 0.5000  4 P 2.39
6 Rh 0.0000 0.5000 0.8470  3 P 2.27-2.54, 2 Cu 2.54
7 Rh 0.5000 0.5000 0.5000  4 P 2.39

Output
**M_tot**: 0.00 μB per cell
**Calculated total energy**: -7.767 eV/atom
**E_form**: -0.894 eV per atom

(2)
VASP calculation (GGA-PBE) on a relaxed structure of PaCuPSe.

abc: 3.9992 3.9992 40.0952
angles: 90.00 90.00 120.00
Last column: nearest neighbours and their distance in Å.
Space group R-3m (No. 166, hexagonal axes)
Unique sites:
1 Pa 0.0000 0.0000 0.0790  3 P 2.83, 3 Se 2.84
2 Cu 0.0000 0.0000 0.3114  4 P 2.40-2.41
3 P 0.0000 0.0000 0.3715  4 Cu 2.40-2.41
4 Se 0.0000 0.0000 0.2130  3 Pa 2.84

Output
**M_tot**: 6.09 μB per cell
**Calculated total energy**: -6.509 eV/atom

(3)
VASP calculation (GGA-PBE) on a relaxed structure of Sr3Pa2CuP6.

abc: 7.0894 12.2346 7.2882
angles: 90.00 108.77 90.00
Last column: nearest neighbours and their distance in Å.
Space group C2/m (No. 12)
Unique sites:
1 Sr 0.0000 0.0000 0.0000  6 P 3.06-3.09
2 Sr 0.0000 0.3365 0.0000  6 P 3.07-3.10
3 Pa 0.0000 0.1675 0.5000  6 P 2.76-2.77
4 Cu 0.0000 0.5000 0.5000  6 P 2.79-2.81
5 P 0.2324 0.0000 0.7122  2 Pa 2.77, 1 Cu 2.81, 3 Sr 3.06-3.07
6 P 0.2386 0.3320 0.7117  2 Pa 2.76-2.77, 1 Cu 2.79

Output
**M_tot**: 0.04 μB per cell
**Calculated total energy**: -5.916 eV/atom
**E_form**: -0.866 eV per atom

(4)
VASP calculation (GGA-PBE) on a relaxed structure of Sr2PaCu2P4.

abc: 14.6235 3.9656 7.1427
angles: 90.00 110.36 90.00
Last column: nearest neighbours and their distance in Å.
Space group C2/m (No. 12)
Unique sites:
1 Sr 0.1377 0.0000 0.0749  7 P 3.10-3.28, 3 Cu 3.34-3.40
2 Pa 0.0000 0.0000 0.5000  6 P 2.76-2.78
3 Cu 0.1809 0.5000 0.4832  4 P 2.40-2.41
4 P 0.0178 0.5000 0.2469  1 Cu 2.40
5 P 0.2018 0.0000 0.6844  3 Cu 2.41

Output
**M_tot**: 0.00 μB per cell
**Calculated total energy**: -5.612 eV/atom
**E_form**: -0.868 eV per atom

(5)
VASP calculation (GGA-PBE) on a relaxed structure of SrPaCuP3.

abc: 8.2847 4.0545 8.7802
angles: 90.00 100.28 90.00
Last column: nearest neighbours and their distance in Å.
Space group P2_1/m (No. 11)
Unique sites:
1 Sr 0.1778 0.2500 0.2358  7 P 3.16-3.24, 3 Cu 3.41-3.49
2 Pa 0.3262 0.7500 0.8425  6 P 2.72-2.82
3 Cu 0.0881 0.2500 0.6004  4 P 2.33-2.35
4 P 0.1141 0.2500 0.8695  1 Cu 2.33
5 P 0.1874 0.7500 0.5254  3 Cu 2.33-2.35
6 P 0.4465 0.7500 0.1614  3 Pa 2.77-2.80

Output
**M_tot**: 0.00 μB per cell
**Calculated total energy**: -6.063 eV/atom
**E_form**: -0.813 eV per atom

(6)
VASP calculation (GGA-PBE) on a relaxed structure of CuPPb2.

abc: 3.8733 3.9146 13.1181
angles: 90.00 90.00 90.00
Last column: nearest neighbours and their distance in Å.
Space group Imm2 (No. 44)
Unique sites:
1 Cu 0.0000 0.0000 0.0000  2 P 2.29
2 P 0.0000 0.5000 0.5928  2 Cu 2.29
3 Pb 0.0000 0.0000 0.4119  4 Cu 2.99, 2 P 3.08
4 Pb 0.0000 0.5000 0.1889  4 P 3.03, 2 Cu 3.16

Output
**M_tot**: 0.00 μB per cell
**Calculated total energy**: -4.082 eV/atom
**E_form**: 0.148 eV per atom

(7)
VASP calculation (GGA-PBE) on a relaxed structure of CuPPb2.

abc: 6.8653 3.9597 7.3052
angles: 90.00 107.93 90.00
Last column: nearest neighbours and their distance in Å.
Space group C2/m (No. 12)
Unique sites:
1 Cu 0.0000 0.0000 0.0000  6 Pb 2.87-2.88
2 P 0.0000 0.5000 0.5000  6 Pb 2.87-2.88
3 Pb 0.2499 0.0000 0.7500  3 Cu 2.87-2.88, 3 P 2.87-2.88

Output
**M_tot**: 0.00 μB per cell
**Calculated total energy**: -3.982 eV/atom
**E_form**: 0.248 eV per atom

(8)
VASP calculation (GGA-PBE) on a relaxed structure of Cu4PPb.

abc: 7.1564 7.1564 7.1564
angles: 90.00 90.00 90.00
Last column: nearest neighbours and their distance in Å.
Space group F-43m (No. 216)
Unique sites:
1 Cu 0.1244 0.1244 0.1244  6 Cu 2.52-2.54
2 P 0.2500 0.2500 0.7500  12 Cu 2.97, 4 Pb 3.10
3 Pb 0.0000 0.0000 0.5000  12 Cu 2.97, 4 P 3.10

Output
**M_tot**: 0.00 μB per cell
**Calculated total energy**: -3.994 eV/atom
**E_form**: 0.257 eV per atom

no.,volume (Å³/cell)
1,162.5
2,555.4
3,598.5
4,388.3
5,290.2
6,198.9
7,188.9
8,366.5